A plane-wave DFT calculation with PBE was carried out for a relaxed CaTaTe2H crystal.

a = 5.4991 Å, b = 5.4991 Å, c = 3.8429 Å
α = 90.00°, β = 90.00°, γ = 90.00°
Last column: nearest neighbours and their distance in Å.
Element x y z (fractional)
H  0.0000  0.0000  0.5000  2 Ta 1.92
Ca  0.5000  0.5000  0.5000  8 Te 3.35
Te  0.0000  0.5000  0.0000  2 Ta 2.75
Te  0.5000  0.0000  0.0000  2 Ta 2.75
Ta  0.0000  0.0000  0.0000  2 H 1.92

Calculated values
The total magnetization is 0.0 μB/cell. The density of states at the Fermi level comes out at 2.9 states/eV per cell. As for the raw total energy: -25.3 eV/cell.

=====

A plane-wave DFT calculation with PBE was carried out for a relaxed Li3YEr2Te6 crystal.

a = 7.4906 Å, b = 7.4906 Å, c = 7.4832 Å
α = 99.60°, β = 99.60°, γ = 120.00°
Last column: nearest neighbours and their distance in Å.
Element x y z (fractional)
Li  0.1664  0.8336  0.5000  6 Te 3.03-3.05
Li  0.8336  0.1664  0.5000  6 Te 3.03-3.05
Li  0.5000  0.5000  0.5000  6 Te 3.03-3.05
Y  0.0000  0.0000  0.0000  6 Te 3.09
Er  0.3333  0.6667  0.0000  6 Te 3.07
Er  0.6667  0.3333  0.0000  6 Te 3.07
Te  0.9153  0.5798  0.7459  3 Li 3.03-3.05, 2 Er 3.07, 1 Y 3.09
Te  0.7493  0.7493  0.2544  3 Li 3.03-3.04, 2 Er 3.07, 1 Y 3.09
Te  0.0847  0.4202  0.2541  3 Li 3.03-3.05, 2 Er 3.07, 1 Y 3.09
Te  0.5798  0.9153  0.7459  3 Li 3.03-3.05, 2 Er 3.07, 1 Y 3.09
Te  0.2507  0.2507  0.7456  3 Li 3.03-3.04, 2 Er 3.07, 1 Y 3.09
Te  0.4202  0.0847  0.2541  3 Li 3.03-3.05, 2 Er 3.07, 1 Y 3.09

Calculated values
The total magnetization is 0.0 μB/cell. As for the raw total energy: -55.7 eV/cell.